Entry 1:
ErIn5Co | the Alexandria database | SCAN | single point on PBEsol structure; DFT formation energy = -0.281 eV/atom; crystal system = tetragonal
1.0
4.4816 0.0000 0.0000
0.0000 4.4816 0.0000
0.0000 0.0000 7.3384
Er In Co
1 5 1
Direct
0.0000 0.0000 0.0000 Er
0.5000 0.5000 0.0000 In
0.0000 0.5000 0.3054 In
0.0000 0.5000 0.6946 In
0.5000 0.0000 0.6946 In
0.5000 0.0000 0.3054 In
0.0000 0.0000 0.5000 Co



Entry 2:
CsAlTe2I | the Alexandria database | SCAN | single point on PBEsol structure; raw formation energy = -0.573 eV per atom; crystal system = tetragonal
1.0
5.3766 0.0000 0.0000
0.0000 5.3766 0.0000
0.0000 0.0000 6.0135
Te I Al Cs
2 1 1 1
Direct
0.0000 0.5000 0.0000 Te
0.5000 0.0000 0.0000 Te
0.0000 0.0000 0.5000 I
0.0000 0.0000 0.0000 Al
0.5000 0.5000 0.5000 Cs



Entry 3:
ZnCo2Br | the Alexandria database | SCAN | single point on PBEsol structure; energy above the lowest structure with this stoichiometry = 567 meV per atom; raw formation energy = 0.815 eV per atom; crystal system = cubic
1.0
-3.1834 -2.0244 -1.8579
0.5945 -1.9059 -3.7011
0.0229 -4.1992 -0.2229
Br Zn Co
1 1 2
Direct
0.0000 0.0000 0.0000 Br
0.5000 0.5000 0.5000 Zn
0.7500 0.7500 0.7500 Co
0.2500 0.2500 0.2500 Co



Entry 4:
MgZrTc2 | the Alexandria database | SCAN | single point on PBEsol structure; DFT formation energy = 0.067 eV/atom; crystal system = cubic
1.0
4.5146 0.0000 0.0000
2.2573 3.9098 0.0000
2.2573 1.3033 3.6862
Tc Mg Zr
2 1 1
Direct
0.0000 0.0000 0.0000 Tc
0.7500 0.7500 0.7500 Tc
0.5000 0.5000 0.5000 Mg
0.2500 0.2500 0.2500 Zr



Entry 5:
Cr4P3O12 | the Alexandria database | SCAN | single point on PBEsol structure; raw formation energy = -2.343 eV per atom; crystal system = monoclinic
1.0
6.6318 0.0036 0.0041
-2.7339 8.2189 -0.0175
-2.7339 -1.0791 8.1478
Cr O P
8 24 6
Direct
0.7500 0.7452 0.2548 Cr
0.7500 0.4976 0.5024 Cr
0.2500 0.5024 0.4976 Cr
0.8651 0.6214 0.9356 Cr
0.2500 0.2548 0.7452 Cr
0.1349 0.3786 0.0644 Cr
0.6349 0.0644 0.3786 Cr
0.3651 0.9356 0.6214 Cr
0.8213 0.7377 0.5039 O
0.3915 0.3264 0.9966 O
0.6787 0.4961 0.2623 O
0.6878 0.9583 0.5879 O
0.1388 0.2009 0.1982 O
0.7475 0.2696 0.5357 O
0.3213 0.5039 0.7377 O
0.3122 0.0417 0.4121 O
0.2525 0.7304 0.4643 O
0.3612 0.8018 0.7991 O
0.1085 0.0034 0.6736 O
0.5349 0.1682 0.7431 O
0.8122 0.4121 0.0417 O
0.1878 0.5879 0.9583 O
0.6085 0.6736 0.0034 O
0.6388 0.1982 0.2009 O
0.1787 0.2623 0.4961 O
0.7525 0.4643 0.7304 O
0.8612 0.7991 0.8018 O
0.4651 0.8318 0.2569 O
0.9651 0.2569 0.8318 O
0.2475 0.5357 0.2696 O
0.8915 0.9966 0.3264 O
0.0349 0.7431 0.1682 O
0.7500 0.2807 0.7193 P
0.1285 0.1250 0.3519 P
0.3715 0.6481 0.8750 P
0.2500 0.7193 0.2807 P
0.6285 0.3519 0.1250 P
0.8715 0.8750 0.6481 P



Entry 6:
CuPt2Rh | the Alexandria database | SCAN | single point on PBEsol structure; DFT formation energy = -0.008 eV/atom; crystal system = tetragonal
1.0
-1.5066 0.4038 -2.2303
-1.7547 -1.9028 0.8409
-3.9211 5.2027 3.5907
Rh Cu Pt
1 1 2
Direct
0.0000 0.0000 0.5102 Rh
0.5000 0.5000 0.7459 Cu
0.5000 0.5000 0.2576 Pt
0.0000 0.0000 0.9862 Pt



Entry 7:
Cs3HgI | the Alexandria database | SCAN | single point on PBEsol structure; raw formation energy = -0.591 eV per atom; crystal system = cubic
1.0
-1.1924 2.1173 6.8813
-7.1980 -0.4995 -1.0936
0.1537 -6.9659 2.1700
Cs Hg I
3 1 1
Direct
0.0000 0.0000 0.5000 Cs
0.5000 0.0000 0.0000 Cs
0.0000 0.5000 0.0000 Cs
0.5000 0.5000 0.5000 Hg
0.0000 0.0000 0.0000 I



Entry 8:
KHg2Os | the Alexandria database | SCAN | single point on PBEsol structure; DFT formation energy = 0.759 eV/atom; crystal system = trigonal
1.0
-0.4152 -1.1515 2.7069
0.5577 -2.8762 0.4922
9.9307 1.0041 3.5804
Hg K Os
2 1 1
Direct
0.2589 0.2589 0.2232 Hg
0.7411 0.7411 0.7768 Hg
0.5000 0.5000 0.5000 K
0.0000 0.0000 0.0000 Os



no.,V (Å³ per cell)
1,147.4
2,173.8
3,52.6
4,65.1
5,444.2
6,55.1
7,388.6
8,80.0